Arrangement one

SmPdRhAu | GGA-PBE | relaxed

Structure (CIF):
```
data_SmPdRhAu
_chemical_formula_sum 'Sm1 Pd1 Rh1 Au1'
_symmetry_space_group_name_H-M 'P 1'
_symmetry_Int_Tables_number 1
_cell_length_a 4.736
_cell_length_b 4.736
_cell_length_c 4.736
_cell_angle_alpha 60.00
_cell_angle_beta 60.00
_cell_angle_gamma 60.00
loop_
_symmetry_equiv_pos_as_xyz
'x,y,z'
loop_
_atom_site_label
_atom_site_type_symbol
_atom_site_fract_x
_atom_site_fract_y
_atom_site_fract_z
Sm1 Sm 0.000 0.000 0.000
Pd1 Pd 0.750 0.750 0.750
Rh1 Rh 0.250 0.250 0.250
Au1 Au 0.500 0.500 0.500
```

space-group type: F-43m (216)


Arrangement two

SmPdRhAu | GGA-PBE | relaxed

Structure (CIF):
```
data_SmPdRhAu
_chemical_formula_sum 'Sm1 Pd1 Rh1 Au1'
_symmetry_space_group_name_H-M 'P 1'
_symmetry_Int_Tables_number 1
_cell_length_a 3.969
_cell_length_b 4.263
_cell_length_c 4.352
_cell_angle_alpha 90.00
_cell_angle_beta 90.00
_cell_angle_gamma 90.00
loop_
_symmetry_equiv_pos_as_xyz
'x,y,z'
loop_
_atom_site_label
_atom_site_type_symbol
_atom_site_fract_x
_atom_site_fract_y
_atom_site_fract_z
Sm1 Sm 0.000 0.000 0.000
Pd1 Pd 0.500 0.000 0.500
Rh1 Rh 0.500 0.500 0.000
Au1 Au 0.000 0.500 0.500
```

space-group type: Pmmm (47)


Stability, lowest: arrangement one